Record 1
A relaxed AcCe2Sm3Se6 crystal. Source: Alexandria via LeMat-Bulk, functional PBE.

POSCAR file:
```
AcCe2Sm3Se6
1.0
3.656 -6.339 0.000
3.656 6.339 0.000
-2.449 0.000 6.953
Ac Ce Sm Se
1 2 3 6
direct
0.000 0.000 0.000 Ac
0.333 0.667 0.000 Ce
0.667 0.333 0.000 Ce
0.161 0.839 0.500 Sm
0.500 0.500 0.500 Sm
0.839 0.161 0.500 Sm
0.087 0.430 0.261 Se
0.258 0.258 0.745 Se
0.430 0.087 0.261 Se
0.570 0.913 0.739 Se
0.742 0.742 0.255 Se
0.913 0.570 0.739 Se
```

Results
* energy: -72.902 eV for the cell shown
* space group: No. 12
* M_tot: 1.987 μB/f.u.
* ΔE_f (raw): -1.8218 eV/atom
* Fermi-level density of states: 15.4 states/eV per cell
* V: 26.9 A^3/atom

Record 2
A relaxed Sr3Ac2CeSe6 crystal. Source: Alexandria via LeMat-Bulk, functional PBE.

POSCAR file:
```
Sr3Ac2CeSe6
1.0
9.675 -2.195 0.000
9.675 2.195 0.000
-2.187 0.000 8.619
Sr Ac Ce Se
3 2 1 6
direct
0.000 0.000 0.000 Sr
0.333 0.333 0.666 Sr
0.667 0.667 0.334 Sr
0.335 0.335 0.170 Ac
0.665 0.665 0.830 Ac
0.000 0.000 0.500 Ce
0.164 0.164 0.578 Se
0.166 0.166 0.086 Se
0.498 0.498 0.743 Se
0.502 0.502 0.257 Se
0.834 0.834 0.914 Se
0.836 0.836 0.422 Se
```

Results
* energy: -63.053 eV for the cell shown
* space group: No. 12
* M_tot: 1.495 μB/f.u.
* ΔE_f (raw): -1.9124 eV/atom
* Fermi-level density of states: 10.6 states/eV per cell
* V: 30.5 A^3/atom

Record 3
A relaxed SrAc2CeSe4 crystal. Source: Alexandria via LeMat-Bulk, functional PBE.

POSCAR file:
```
SrAc2CeSe4
1.0
7.621 0.000 0.000
0.000 4.375 0.000
-2.512 0.000 7.213
Sr Ac Ce Se
1 2 1 4
direct
0.000 0.000 0.000 Sr
0.500 0.000 0.500 Ac
0.500 0.500 0.000 Ac
0.000 0.500 0.500 Ce
0.237 0.000 0.743 Se
0.240 0.500 0.251 Se
0.760 0.500 0.749 Se
0.763 0.000 0.257 Se
```

Results
* energy: -44.719 eV for the cell shown
* space group: No. 10
* M_tot: 1.229 μB/f.u.
* ΔE_f (raw): -1.8686 eV/atom
* Fermi-level density of states: 9.4 states/eV per cell
* V: 30.1 A^3/atom

Record 4
A relaxed Ac4TbCe3Se8 crystal. Source: Alexandria via LeMat-Bulk, functional PBE.

POSCAR file:
```
Ac4TbCe3Se8
1.0
4.306 2.486 7.122
-4.306 2.486 7.122
0.000 -4.972 7.122
Ac Tb Ce Se
4 1 3 8
direct
0.000 0.000 0.000 Ac
0.000 0.500 0.500 Ac
0.500 0.000 0.500 Ac
0.500 0.500 0.000 Ac
0.500 0.500 0.500 Tb
0.000 0.000 0.500 Ce
0.000 0.500 0.000 Ce
0.500 0.000 0.000 Ce
0.244 0.244 0.244 Se
0.248 0.741 0.741 Se
0.259 0.259 0.752 Se
0.259 0.752 0.259 Se
0.741 0.248 0.741 Se
0.741 0.741 0.248 Se
0.752 0.259 0.259 Se
0.756 0.756 0.756 Se
```

Results
* energy: -95.935 eV for the cell shown
* space group: No. 166
* M_tot: 2.989 μB/f.u.
* ΔE_f (raw): -1.8246 eV/atom
* Fermi-level density of states: 22.4 states/eV per cell
* V: 28.6 A^3/atom

Copy entry 2 word for word.
A relaxed Sr3Ac2CeSe6 crystal. Source: Alexandria via LeMat-Bulk, functional PBE.

POSCAR file:
```
Sr3Ac2CeSe6
1.0
9.675 -2.195 0.000
9.675 2.195 0.000
-2.187 0.000 8.619
Sr Ac Ce Se
3 2 1 6
direct
0.000 0.000 0.000 Sr
0.333 0.333 0.666 Sr
0.667 0.667 0.334 Sr
0.335 0.335 0.170 Ac
0.665 0.665 0.830 Ac
0.000 0.000 0.500 Ce
0.164 0.164 0.578 Se
0.166 0.166 0.086 Se
0.498 0.498 0.743 Se
0.502 0.502 0.257 Se
0.834 0.834 0.914 Se
0.836 0.836 0.422 Se
```

Results
* energy: -63.053 eV for the cell shown
* space group: No. 12
* M_tot: 1.495 μB/f.u.
* ΔE_f (raw): -1.9124 eV/atom
* Fermi-level density of states: 10.6 states/eV per cell
* V: 30.5 A^3/atom

Copy entry 2 word for word.
A relaxed Sr3Ac2CeSe6 crystal. Source: Alexandria via LeMat-Bulk, functional PBE.

POSCAR file:
```
Sr3Ac2CeSe6
1.0
9.675 -2.195 0.000
9.675 2.195 0.000
-2.187 0.000 8.619
Sr Ac Ce Se
3 2 1 6
direct
0.000 0.000 0.000 Sr
0.333 0.333 0.666 Sr
0.667 0.667 0.334 Sr
0.335 0.335 0.170 Ac
0.665 0.665 0.830 Ac
0.000 0.000 0.500 Ce
0.164 0.164 0.578 Se
0.166 0.166 0.086 Se
0.498 0.498 0.743 Se
0.502 0.502 0.257 Se
0.834 0.834 0.914 Se
0.836 0.836 0.422 Se
```

Results
* energy: -63.053 eV for the cell shown
* space group: No. 12
* M_tot: 1.495 μB/f.u.
* ΔE_f (raw): -1.9124 eV/atom
* Fermi-level density of states: 10.6 states/eV per cell
* V: 30.5 A^3/atom

- ΔE_f (raw) of number 4 (Ac4TbCe3Se8)?
  -1.8246 eV/atom